# 1
DFT (PBE-GGA) results for a relaxed NaC3N crystal.

Calculated values
Distance to the lowest polymorph of the same formula = 37.640 kcal/mol of atoms
E_form (uncorrected) = 4.927 eV/atom
DOS(E_F) = 3.338 states/eV/f.u.
Electronic total energy = -2.536 eV per atom
Size of the total moment = 0.386 μB per atom

CIF file:
```
data_NaC3N
_space_group_name_H-M_alt 'P m -3 m'
_space_group_IT_number 221
_space_group_name_Hall '-P 4 2 3'
_cell_length_a 4.5510
_cell_length_b 4.5510
_cell_length_c 4.5510
_cell_angle_alpha 90.00
_cell_angle_beta 90.00
_cell_angle_gamma 90.00
loop_
_atom_site_label
_atom_site_type_symbol
_atom_site_fract_x
_atom_site_fract_y
_atom_site_fract_z
Na1 Na 0.0000 0.0000 0.0000
C1 C 0.0000 0.0000 0.5000
N1 N 0.5000 0.5000 0.5000
```

***

# 2
DFT (PBE-GGA) results for a relaxed NaCN crystal.

Calculated values
Distance to the lowest polymorph of the same formula = 81.626 kcal/mol of atoms
E_form (uncorrected) = 3.359 eV/atom
DOS(E_F) = 1.895 states/eV/f.u.
Electronic total energy = -2.931 eV per atom
Size of the total moment = 1.485 μB per atom

CIF file:
```
data_NaCN
_space_group_name_H-M_alt 'P 4/m m m'
_space_group_IT_number 123
_space_group_name_Hall '-P 4 2'
_cell_length_a 3.4155
_cell_length_b 3.4155
_cell_length_c 5.6945
_cell_angle_alpha 90.00
_cell_angle_beta 90.00
_cell_angle_gamma 90.00
loop_
_atom_site_label
_atom_site_type_symbol
_atom_site_fract_x
_atom_site_fract_y
_atom_site_fract_z
Na1 Na 0.0000 0.0000 0.0000
C1 C 0.0000 0.0000 0.5000
N1 N 0.5000 0.5000 0.0000
```

***

# 3
DFT (PBE-GGA) results for a relaxed Na2C2N3 crystal.

Calculated values
Distance to the lowest polymorph of the same formula = 0.000 kcal/mol of atoms
E_form (uncorrected) = 0.145 eV/atom
DOS(E_F) = 0.846 states/eV/f.u.
Electronic total energy = -6.435 eV per atom
Size of the total moment = 0.000 μB per atom

CIF file:
```
data_Na2C2N3
_space_group_name_H-M_alt 'C 1 2/m 1'
_space_group_IT_number 12
_cell_length_a 10.3583
_cell_length_b 2.4645
_cell_length_c 5.4054
_cell_angle_alpha 90.00
_cell_angle_beta 91.15
_cell_angle_gamma 90.00
loop_
_space_group_symop_operation_xyz
'x,y,z'
'-x,-y,-z'
'-x,y,-z'
'x,-y,z'
'x+1/2,y+1/2,z'
'-x+1/2,-y+1/2,-z'
'-x+1/2,y+1/2,-z'
'x+1/2,-y+1/2,z'
loop_
_atom_site_label
_atom_site_type_symbol
_atom_site_fract_x
_atom_site_fract_y
_atom_site_fract_z
Na1 Na 0.1527 0.0000 0.2884
C1 C 0.0896 0.5000 0.8296
N1 N 0.0000 0.5000 0.0000
N2 N 0.1414 0.0000 0.7357
```

***

# 4
DFT (PBE-GGA) results for a relaxed NaCN3 crystal.

Calculated values
E_form (uncorrected) = 2.391 eV/atom
DOS(E_F) = 3.372 states/eV/f.u.
Electronic total energy = -4.713 eV per atom
Size of the total moment = 0.252 μB per atom

CIF file:
```
data_NaCN3
_space_group_name_H-M_alt 'P m -3 m'
_space_group_IT_number 221
_space_group_name_Hall '-P 4 2 3'
_cell_length_a 3.4175
_cell_length_b 3.4175
_cell_length_c 3.4175
_cell_angle_alpha 90.00
_cell_angle_beta 90.00
_cell_angle_gamma 90.00
loop_
_atom_site_label
_atom_site_type_symbol
_atom_site_fract_x
_atom_site_fract_y
_atom_site_fract_z
Na1 Na 0.0000 0.0000 0.0000
C1 C 0.5000 0.5000 0.5000
N1 N 0.0000 0.5000 0.5000
```

***

# 5
DFT (PBE-GGA) results for a relaxed Na3CN3 crystal.

Calculated values
Distance to the lowest polymorph of the same formula = 0.684 kcal/mol of atoms
E_form (uncorrected) = 0.099 eV/atom
DOS(E_F) = 1.843 states/eV/f.u.
Electronic total energy = -5.352 eV per atom
Size of the total moment = 0.000 μB per atom

CIF file:
```
data_Na3CN3
_space_group_name_H-M_alt 'R 3 m'
_space_group_IT_number 160
_space_group_name_Hall 'R 3 -2"'
_cell_length_a 9.4976
_cell_length_b 9.4976
_cell_length_c 4.0947
_cell_angle_alpha 90.00
_cell_angle_beta 90.00
_cell_angle_gamma 120.00
loop_
_atom_site_label
_atom_site_type_symbol
_atom_site_fract_x
_atom_site_fract_y
_atom_site_fract_z
Na1 Na 0.1771 0.3542 0.0000
C1 C 0.0000 0.0000 0.8344
N1 N 0.1627 0.0814 0.8377
```

***

# 6
DFT (PBE-GGA) results for a relaxed NaC2N2 crystal.

Calculated values
E_form (uncorrected) = 0.948 eV/atom
DOS(E_F) = 1.814 states/eV/f.u.
Electronic total energy = -6.336 eV per atom
Size of the total moment = 0.000 μB per atom

CIF file:
```
data_NaC2N2
_space_group_name_H-M_alt 'I 4/m c m'
_space_group_IT_number 140
_space_group_name_Hall '-I 4 2c'
_cell_length_a 4.7347
_cell_length_b 4.7347
_cell_length_c 14.4164
_cell_angle_alpha 90.00
_cell_angle_beta 90.00
_cell_angle_gamma 90.00
loop_
_atom_site_label
_atom_site_type_symbol
_atom_site_fract_x
_atom_site_fract_y
_atom_site_fract_z
Na1 Na 0.0000 0.0000 0.2500
C1 C 0.1463 0.3537 0.0000
N1 N 0.1496 0.3504 0.5000
```

***

# 7
DFT (PBE-GGA) results for a relaxed NaCN crystal.

Calculated values
Distance to the lowest polymorph of the same formula = 0.564 kcal/mol of atoms
E_form (uncorrected) = -0.157 eV/atom
DOS(E_F) = 0.000 states/eV/f.u.
Electronic total energy = -6.446 eV per atom
Size of the total moment = 0.000 μB per atom

CIF file:
```
data_NaCN
_space_group_name_H-M_alt 'C 1 2/m 1'
_space_group_IT_number 12
_cell_length_a 8.4973
_cell_length_b 4.6662
_cell_length_c 6.1493
_cell_angle_alpha 90.00
_cell_angle_beta 92.82
_cell_angle_gamma 90.00
loop_
_space_group_symop_operation_xyz
'x,y,z'
'-x,-y,-z'
'-x,y,-z'
'x,-y,z'
'x+1/2,y+1/2,z'
'-x+1/2,-y+1/2,-z'
'-x+1/2,y+1/2,-z'
'x+1/2,-y+1/2,z'
loop_
_atom_site_label
_atom_site_type_symbol
_atom_site_fract_x
_atom_site_fract_y
_atom_site_fract_z
Na1 Na 0.1656 0.0000 0.2631
C1 C 0.1606 0.0000 0.8483
N1 N 0.1682 0.0000 0.6569
```

***

# 8
DFT (PBE-GGA) results for a relaxed NaC2N3 crystal.

Calculated values
E_form (uncorrected) = -0.060 eV/atom
DOS(E_F) = 0.000 states/eV/f.u.
Electronic total energy = -7.517 eV per atom
Size of the total moment = 0.000 μB per atom

CIF file:
```
data_NaC2N3
_space_group_name_H-M_alt 'P 1 21/c 1'
_space_group_IT_number 14
_cell_length_a 3.6556
_cell_length_b 15.1576
_cell_length_c 7.4392
_cell_angle_alpha 90.00
_cell_angle_beta 117.86
_cell_angle_gamma 90.00
loop_
_space_group_symop_operation_xyz
'x,y,z'
'-x,-y,-z'
'-x,y+1/2,-z+1/2'
'x,-y+1/2,z+1/2'
loop_
_atom_site_label
_atom_site_type_symbol
_atom_site_fract_x
_atom_site_fract_y
_atom_site_fract_z
Na1 Na 0.1139 0.0879 0.3589
C1 C 0.2991 0.7274 0.5536
C2 C 0.4126 0.5827 0.6610
N1 N 0.2606 0.6428 0.5215
N2 N 0.3134 0.6948 0.0637
N3 N 0.4641 0.0221 0.7257
```